Entry 1:
Material: RbPmFe2I8
Method: DFT, PBE
State: relaxed

a = 12.313 Å, b = 8.513 Å, c = 10.822 Å
α = 90.00°, β = 95.49°, γ = 90.00°
Space group C2/m (No. 12)
Inequivalent atoms, fractional coordinates:
1 Rb 0.000 0.000 0.000
2 Pm 0.000 0.000 0.500
3 Fe 0.121 0.500 0.284
4 I 0.014 0.254 0.711
5 I 0.200 0.500 0.075
6 I 0.248 0.500 0.494

Entry 2:
Material: Pr2FeI
Method: DFT, PBE
State: relaxed

a = 4.0748 Å, b = 4.0748 Å, c = 24.9943 Å
α = 90.00°, β = 90.00°, γ = 120.00°
Space group R-3m (No. 166, hexagonal axes)
Inequivalent atoms, fractional coordinates:
1 Pr 0.0000 0.0000 0.2299
2 Fe 0.0000 0.0000 0.5000
3 I 0.0000 0.0000 0.0000

Entry 3:
Material: Pr5Fe2I2
Method: DFT, PBE
State: relaxed

a = 16.890 Å, b = 8.340 Å, c = 7.717 Å
α = 90.00°, β = 90.00°, γ = 90.00°
Space group Cmce (No. 64)
Inequivalent atoms, fractional coordinates:
1 Pr 0.000 0.000 0.000
2 Pr 0.111 0.170 0.346
3 Fe 0.000 0.102 0.616
4 I 0.210 0.000 0.000

Entry 4:
Material: Fe2PtI
Method: DFT, PBE
State: relaxed

Values from the calculation:
The excess energy over the best structure of this formula in the dataset is 0.17 eV per formula unit.

a = 5.868 Å, b = 5.868 Å, c = 11.741 Å
α = 90.00°, β = 90.00°, γ = 90.00°
Space group I-42d (No. 122)
Inequivalent atoms, fractional coordinates:
1 Fe 0.209 0.250 0.125
2 Pt 0.000 0.000 0.000
3 I 0.000 0.000 0.500

Entry 5:
Material: Fe2PtI2
Method: DFT, PBE
State: relaxed

Values from the calculation:
The excess energy over the best structure of this formula in the dataset is 0.00 eV per formula unit.

a = 3.550 Å, b = 3.550 Å, c = 15.975 Å
α = 90.00°, β = 90.00°, γ = 90.00°
Space group I4/mmm (No. 139)
Inequivalent atoms, fractional coordinates:
1 Fe 0.000 0.500 0.250
2 Pt 0.000 0.000 0.000
3 I 0.000 0.000 0.379

Entry 6:
Material: Fe3PtI
Method: DFT, PBE
State: relaxed

Values from the calculation:
The excess energy over the best structure of this formula in the dataset is 0.00 eV per formula unit.

a = 4.808 Å, b = 4.808 Å, c = 4.808 Å
α = 90.00°, β = 90.00°, γ = 90.00°
Space group Pm-3m (No. 221)
Inequivalent atoms, fractional coordinates:
1 Fe 0.000 0.000 0.500
2 Pt 0.000 0.000 0.000
3 I 0.500 0.500 0.500

Entry 7:
Material: Fe2PtI
Method: DFT, PBE
State: relaxed

Values from the calculation:
The excess energy over the best structure of this formula in the dataset is 0.00 eV per formula unit.

a = 6.390 Å, b = 6.390 Å, c = 6.390 Å
α = 90.00°, β = 90.00°, γ = 90.00°
Space group Fm-3m (No. 225)
Inequivalent atoms, fractional coordinates:
1 Fe 0.250 0.250 0.250
2 Pt 0.000 0.000 0.000
3 I 0.000 0.000 0.500

Entry 8:
Material: Fe2PtI2
Method: DFT, PBE
State: relaxed

Values from the calculation:
The excess energy over the best structure of this formula in the dataset is 2.52 eV per formula unit.

a = 7.470 Å, b = 7.470 Å, c = 3.207 Å
α = 90.00°, β = 90.00°, γ = 90.00°
Space group P4/mbm (No. 127)
Inequivalent atoms, fractional coordinates:
1 Fe 0.135 0.365 0.000
2 Pt 0.000 0.000 0.500
3 I 0.162 0.662 0.500

Entry 9:
Material: FePtI6
Method: DFT, PBE
State: relaxed

a = 8.493 Å, b = 11.534 Å, c = 6.809 Å
α = 90.00°, β = 105.98°, γ = 90.00°
Space group C2/m (No. 12)
Inequivalent atoms, fractional coordinates:
1 Fe 0.000 0.000 0.000
2 Pt 0.000 0.000 0.500
3 I 0.130 0.157 0.808
4 I 0.250 0.000 0.330

Entry 10:
Material: Rb2FePtI6
Method: DFT, PBE
State: relaxed

a = 8.132 Å, b = 8.132 Å, c = 11.952 Å
α = 90.00°, β = 90.00°, γ = 90.00°
Space group I4/mmm (No. 139)
Inequivalent atoms, fractional coordinates:
1 Rb 0.000 0.500 0.250
2 Fe 0.000 0.000 0.000
3 Pt 0.000 0.000 0.500
4 I 0.000 0.000 0.216
5 I 0.233 0.233 0.500

Entry 11:
Material: FeRuPt2I
Method: DFT, PBE
State: relaxed

Values from the calculation:
The excess energy over the best structure of this formula in the dataset is 0.00 eV per formula unit.

a = 4.890 Å, b = 4.890 Å, c = 4.652 Å
α = 90.00°, β = 90.00°, γ = 90.00°
Space group P4/mmm (No. 123)
Inequivalent atoms, fractional coordinates:
1 Fe 0.000 0.000 0.000
2 Ru 0.000 0.000 0.500
3 Pt 0.000 0.500 0.500
4 I 0.500 0.500 0.000

Entry 12:
Material: FeRuPt2I
Method: DFT, PBE
State: relaxed

Values from the calculation:
The excess energy over the best structure of this formula in the dataset is 1.05 eV per formula unit.

a = 4.812 Å, b = 4.812 Å, c = 5.233 Å
α = 90.00°, β = 90.00°, γ = 90.00°
Space group P4/mmm (No. 123)
Inequivalent atoms, fractional coordinates:
1 Fe 0.000 0.000 0.000
2 Ru 0.500 0.500 0.500
3 Pt 0.000 0.500 0.500
4 I 0.500 0.500 0.000

Entry 13:
Material: FeSb2PtI
Method: DFT, PBE
State: relaxed

Values from the calculation:
The excess energy over the best structure of this formula in the dataset is 0.00 eV per formula unit.

a = 4.782 Å, b = 4.782 Å, c = 5.246 Å
α = 90.00°, β = 90.00°, γ = 90.00°
Space group P4/mmm (No. 123)
Inequivalent atoms, fractional coordinates:
1 Fe 0.000 0.000 0.000
2 Sb 0.000 0.500 0.000
3 Pt 0.500 0.500 0.500
4 I 0.000 0.000 0.500

Entry 14:
Material: FeTcPtI2
Method: DFT, PBE
State: relaxed

a = 5.235 Å, b = 5.235 Å, c = 4.611 Å
α = 90.00°, β = 90.00°, γ = 90.00°
Space group P4/mmm (No. 123)
Inequivalent atoms, fractional coordinates:
1 Fe 0.000 0.000 0.000
2 Tc 0.000 0.000 0.500
3 Pt 0.500 0.500 0.000
4 I 0.000 0.500 0.500

Entry 15:
Material: FeTe2PtI
Method: DFT, PBE
State: relaxed

Values from the calculation:
The excess energy over the best structure of this formula in the dataset is 0.00 eV per formula unit.

a = 5.317 Å, b = 5.317 Å, c = 5.467 Å
α = 90.00°, β = 90.00°, γ = 90.00°
Space group P4/mmm (No. 123)
Inequivalent atoms, fractional coordinates:
1 Fe 0.000 0.000 0.000
2 Te 0.000 0.500 0.500
3 Pt 0.500 0.500 0.500
4 I 0.500 0.500 0.000

Entry 16:
Material: PuFe2I8
Method: DFT, PBE
State: relaxed

a = 13.674 Å, b = 11.226 Å, c = 7.072 Å
α = 90.00°, β = 94.26°, γ = 90.00°
Space group C2/m (No. 12)
Inequivalent atoms, fractional coordinates:
1 Pu 0.000 0.000 0.000
2 Fe 0.195 0.000 0.645
3 I 0.102 0.188 0.760
4 I 0.129 0.500 0.229
5 I 0.192 0.000 0.275

Entry 17:
Material: PuFeI
Method: DFT, PBE
State: relaxed

a = 3.851 Å, b = 21.037 Å, c = 3.971 Å
α = 90.00°, β = 90.00°, γ = 90.00°
Space group Cmcm (No. 63)
Inequivalent atoms, fractional coordinates:
1 Pu 0.000 0.077 0.250
2 Fe 0.000 0.469 0.250
3 I 0.000 0.336 0.250

Entry 18:
Material: Pu2FeI
Method: DFT, PBE
State: relaxed

a = 3.9002 Å, b = 3.9002 Å, c = 23.7412 Å
α = 90.00°, β = 90.00°, γ = 120.00°
Space group R-3m (No. 166, hexagonal axes)
Inequivalent atoms, fractional coordinates:
1 Pu 0.0000 0.0000 0.2277
2 Fe 0.0000 0.0000 0.5000
3 I 0.0000 0.0000 0.0000

Entry 19:
Material: PuFe3I9
Method: DFT, PBE
State: relaxed

a = 20.346 Å, b = 10.229 Å, c = 14.588 Å
α = 90.00°, β = 129.27°, γ = 90.00°
Space group Cc (No. 9)
Inequivalent atoms, fractional coordinates:
1 Pu 0.000 0.228 0.000
2 Fe 0.146 0.118 0.831
3 Fe 0.231 0.423 0.711
4 Fe 0.359 0.075 0.669
5 I 0.019 0.075 0.831
6 I 0.115 0.343 0.725
7 I 0.149 0.063 0.209
8 I 0.157 0.384 0.062
9 I 0.241 0.252 0.583
10 I 0.302 0.132 0.031
11 I 0.366 0.497 0.420
12 I 0.404 0.012 0.370
13 I 0.487 0.180 0.695

Entry 20:
Material: RbPuFe2I8
Method: DFT, PBE
State: relaxed

a = 12.355 Å, b = 8.487 Å, c = 10.915 Å
α = 90.00°, β = 94.91°, γ = 90.00°
Space group C2/m (No. 12)
Inequivalent atoms, fractional coordinates:
1 Rb 0.000 0.000 0.000
2 Pu 0.000 0.000 0.500
3 Fe 0.119 0.500 0.281
4 I 0.015 0.254 0.714
5 I 0.200 0.500 0.074
6 I 0.246 0.500 0.486

Entry 21:
Material: RbFeI4
Method: DFT, PBE
State: relaxed

Values from the calculation:
The excess energy over the best structure of this formula in the dataset is 0.04 eV per formula unit.

a = 9.129 Å, b = 9.129 Å, c = 7.040 Å
α = 90.00°, β = 90.00°, γ = 90.00°
Space group I-4 (No. 82)
Inequivalent atoms, fractional coordinates:
1 Rb 0.000 0.000 0.000
2 Fe 0.000 0.500 0.750
3 I 0.128 0.308 0.543

Entry 22:
Material: RbFe4I12
Method: DFT, PBE
State: relaxed

a = 10.549 Å, b = 10.970 Å, c = 10.990 Å
α = 90.00°, β = 90.00°, γ = 90.00°
Space group Immm (No. 71)
Inequivalent atoms, fractional coordinates:
1 Rb 0.000 0.000 0.000
2 Fe 0.250 0.250 0.250
3 I 0.000 0.309 0.307
4 I 0.190 0.000 0.266
5 I 0.191 0.265 0.000

Entry 23:
Material: RbFeI3
Method: DFT, PBE
State: relaxed

a = 6.899 Å, b = 6.899 Å, c = 6.899 Å
α = 90.00°, β = 90.00°, γ = 90.00°
Space group Pm-3m (No. 221)
Inequivalent atoms, fractional coordinates:
1 Rb 0.000 0.000 0.000
2 Fe 0.500 0.500 0.500
3 I 0.000 0.000 0.500

Entry 24:
Material: RbFe3I
Method: DFT, PBE
State: relaxed

Values from the calculation:
The excess energy over the best structure of this formula in the dataset is 0.00 eV per formula unit.

a = 4.900 Å, b = 4.900 Å, c = 4.900 Å
α = 90.00°, β = 90.00°, γ = 90.00°
Space group Pm-3m (No. 221)
Inequivalent atoms, fractional coordinates:
1 Rb 0.000 0.000 0.000
2 Fe 0.000 0.500 0.500
3 I 0.500 0.500 0.500

Number 1: V 47.05 Å³ per atom, uncorrected formation energy -0.72 eV per atom, calculated total energy -3.6417 eV per atom. Number 2: V 29.95 Å³ per atom, uncorrected formation energy -0.32 eV per atom, calculated total energy -5.2106 eV per atom. Number 3: V 30.20 Å³ per atom, uncorrected formation energy -0.31 eV per atom, calculated total energy -5.1899 eV per atom. Number 4: V 25.27 Å³ per atom, uncorrected formation energy 0.68 eV per atom, calculated total energy -5.4513 eV per atom. Number 5: V 20.13 Å³ per atom, uncorrected formation energy 0.67 eV per atom, calculated total energy -4.5480 eV per atom. Number 6: V 22.23 Å³ per atom, uncorrected formation energy 0.95 eV per atom, calculated total energy -5.6410 eV per atom. Number 7: V 16.31 Å³ per atom, uncorrected formation energy 0.64 eV per atom, calculated total energy -5.4932 eV per atom. Number 8: V 17.90 Å³ per atom, uncorrected formation energy 1.17 eV per atom, calculated total energy -4.0448 eV per atom. Number 9: V 40.07 Å³ per atom, uncorrected formation energy -0.04 eV per atom, calculated total energy -3.0147 eV per atom. Number 10: V 39.52 Å³ per atom, uncorrected formation energy -0.57 eV per atom, calculated total energy -3.1409 eV per atom. Number 11: V 22.25 Å³ per atom, uncorrected formation energy 1.23 eV per atom, calculated total energy -5.0449 eV per atom. Number 12: V 24.24 Å³ per atom, uncorrected formation energy 1.44 eV per atom, calculated total energy -4.8344 eV per atom. Number 13: V 24.00 Å³ per atom, uncorrected formation energy 0.72 eV per atom, calculated total energy -4.1424 eV per atom. Number 14: V 25.28 Å³ per atom, uncorrected formation energy 1.37 eV per atom, calculated total energy -4.2250 eV per atom. Number 15: V 30.91 Å³ per atom, uncorrected formation energy 0.82 eV per atom, calculated total energy -3.6497 eV per atom. Number 16: V 49.20 Å³ per atom, uncorrected formation energy -0.46 eV per atom, calculated total energy -4.4298 eV per atom. Number 17: V 26.80 Å³ per atom, uncorrected formation energy -0.40 eV per atom, calculated total energy -8.5106 eV per atom. Number 18: V 26.06 Å³ per atom, uncorrected formation energy -0.23 eV per atom, calculated total energy -9.8955 eV per atom. Number 19: V 45.20 Å³ per atom, uncorrected formation energy -0.35 eV per atom, calculated total energy -4.4806 eV per atom. Number 20: V 47.51 Å³ per atom, uncorrected formation energy -0.61 eV per atom, calculated total energy -4.3303 eV per atom. Number 21: V 48.89 Å³ per atom, uncorrected formation energy -0.63 eV per atom, calculated total energy -3.2363 eV per atom. Number 22: V 37.41 Å³ per atom, uncorrected formation energy -0.12 eV per atom, calculated total energy -3.2658 eV per atom. Number 23: V 65.68 Å³ per atom, uncorrected formation energy 0.62 eV per atom, calculated total energy -2.1934 eV per atom. Number 24: V 23.53 Å³ per atom, uncorrected formation energy 1.43 eV per atom, calculated total energy -4.1547 eV per atom.